# 1
! LiZnNO2 PBE optimized geometry; values from VASP
&SYSTEM
  ibrav = 0, nat = 5, ntyp = 4
/
ATOMIC_SPECIES
Li 6.94 Li.upf
Zn 65.41 Zn.upf
N 14.01 N.upf
O 16.00 O.upf
CELL_PARAMETERS angstrom
3.9491 0.0000 0.0000
0.0000 3.9491 0.0000
0.0000 0.0000 3.9161
ATOMIC_POSITIONS crystal
Li 0.0000 0.0000 0.0000
Zn 0.5000 0.5000 0.5000
N 0.5000 0.5000 0.0000
O 0.0000 0.5000 0.5000
O 0.5000 0.0000 0.5000
! Space group: P4/mmm
! DOS(E_F) (states/eV/atom): 0.50
! VASP energy (eV/atom): -4.013

# 2
! LiZnNO2 PBE optimized geometry; values from VASP
&SYSTEM
  ibrav = 0, nat = 5, ntyp = 4
/
ATOMIC_SPECIES
Li 6.94 Li.upf
Zn 65.41 Zn.upf
N 14.01 N.upf
O 16.00 O.upf
CELL_PARAMETERS angstrom
3.6389 0.0000 0.0000
0.0000 3.6389 0.0000
0.0000 0.0000 3.8540
ATOMIC_POSITIONS crystal
Li 0.0000 0.0000 0.0000
Zn 0.5000 0.5000 0.5000
N 0.0000 0.0000 0.5000
O 0.0000 0.5000 0.0000
O 0.5000 0.0000 0.0000
! Space group: P4/mmm
! DOS(E_F) (states/eV/atom): 0.28
! VASP energy (eV/atom): -3.667

# 3
! LiZrNO PBE optimized geometry; values from VASP
&SYSTEM
  ibrav = 0, nat = 4, ntyp = 4
/
ATOMIC_SPECIES
Li 6.94 Li.upf
Zr 91.22 Zr.upf
N 14.01 N.upf
O 16.00 O.upf
CELL_PARAMETERS angstrom
3.6820 0.0000 0.0000
-1.8410 3.1887 0.0000
0.0000 0.0000 4.2801
ATOMIC_POSITIONS crystal
Li 0.0000 0.0000 0.0000
Zr 0.6667 0.3333 0.5000
N 0.0000 0.0000 0.5000
O 0.6667 0.3333 0.0000
! Space group: P-6m2
! DOS(E_F) (states/eV/atom): 0.00
! VASP energy (eV/atom): -7.941

# 4
! LiZrNO2 PBE optimized geometry; values from VASP
&SYSTEM
  ibrav = 0, nat = 5, ntyp = 4
/
ATOMIC_SPECIES
Li 6.94 Li.upf
Zr 91.22 Zr.upf
N 14.01 N.upf
O 16.00 O.upf
CELL_PARAMETERS angstrom
4.1656 0.0000 0.0000
0.0000 4.1656 0.0000
0.0000 0.0000 4.3848
ATOMIC_POSITIONS crystal
Li 0.0000 0.0000 0.0000
Zr 0.5000 0.5000 0.5000
N 0.5000 0.5000 0.0000
O 0.0000 0.5000 0.5000
O 0.5000 0.0000 0.5000
! Space group: P4/mmm
! DOS(E_F) (states/eV/atom): 0.18
! VASP energy (eV/atom): -7.030

# 5
! LiZrNO2 PBE optimized geometry; values from VASP
&SYSTEM
  ibrav = 0, nat = 5, ntyp = 4
/
ATOMIC_SPECIES
Li 6.94 Li.upf
Zr 91.22 Zr.upf
N 14.01 N.upf
O 16.00 O.upf
CELL_PARAMETERS angstrom
3.5466 0.0000 0.0000
0.0000 3.5466 0.0000
0.0000 0.0000 3.6263
ATOMIC_POSITIONS crystal
Li 0.0000 0.0000 0.0000
Zr 0.5000 0.5000 0.5000
N 0.0000 0.0000 0.5000
O 0.0000 0.5000 0.0000
O 0.5000 0.0000 0.0000
! Space group: P4/mmm
! DOS(E_F) (states/eV/atom): 0.33
! VASP energy (eV/atom): -6.616

# 6
! LiOsN2 PBE optimized geometry; values from VASP
&SYSTEM
  ibrav = 0, nat = 4, ntyp = 3
/
ATOMIC_SPECIES
Li 6.94 Li.upf
Os 190.23 Os.upf
N 14.01 N.upf
CELL_PARAMETERS angstrom
1.5419 0.8902 5.7997
-1.5419 0.8902 5.7997
0.0000 -1.7804 5.7997
ATOMIC_POSITIONS crystal
Li 0.0000 0.0000 0.0000
Os 0.5000 0.5000 0.5000
N 0.1070 0.1070 0.1070
N 0.8930 0.8930 0.8930
! Space group: R-3m
! E above lowest polymorph (eV/atom): 0.339
! DOS(E_F) (states/eV/atom): 0.68

What did the second record say?
! LiZnNO2 PBE optimized geometry; values from VASP
&SYSTEM
  ibrav = 0, nat = 5, ntyp = 4
/
ATOMIC_SPECIES
Li 6.94 Li.upf
Zn 65.41 Zn.upf
N 14.01 N.upf
O 16.00 O.upf
CELL_PARAMETERS angstrom
3.6389 0.0000 0.0000
0.0000 3.6389 0.0000
0.0000 0.0000 3.8540
ATOMIC_POSITIONS crystal
Li 0.0000 0.0000 0.0000
Zn 0.5000 0.5000 0.5000
N 0.0000 0.0000 0.5000
O 0.0000 0.5000 0.0000
O 0.5000 0.0000 0.0000
! Space group: P4/mmm
! DOS(E_F) (states/eV/atom): 0.28
! VASP energy (eV/atom): -3.667

Which of these has the lowest DOS(E_F)?
LiZrNO

Number 1 is which compound?
LiZnNO2

Repeat the fifth record exactly.
! LiZrNO2 PBE optimized geometry; values from VASP
&SYSTEM
  ibrav = 0, nat = 5, ntyp = 4
/
ATOMIC_SPECIES
Li 6.94 Li.upf
Zr 91.22 Zr.upf
N 14.01 N.upf
O 16.00 O.upf
CELL_PARAMETERS angstrom
3.5466 0.0000 0.0000
0.0000 3.5466 0.0000
0.0000 0.0000 3.6263
ATOMIC_POSITIONS crystal
Li 0.0000 0.0000 0.0000
Zr 0.5000 0.5000 0.5000
N 0.0000 0.0000 0.5000
O 0.0000 0.5000 0.0000
O 0.5000 0.0000 0.0000
! Space group: P4/mmm
! DOS(E_F) (states/eV/atom): 0.33
! VASP energy (eV/atom): -6.616